Run A
# VRu3O

A geometry-optimized VRu3O structure (GGA+U, the Alexandria database).

abc: 4.5391 4.5391 4.5391
angles: 90.00 90.00 90.00
Closest atoms and distances in Å follow each position.
Atoms (fractional coordinates):
O: 0.5000 0.5000 0.5000  12 Ru 3.21
V: 0.0000 0.0000 0.0000  6 Ru 2.27
Ru: 0.5000 0.0000 0.0000  2 V 2.27
Ru: 0.0000 0.5000 0.0000  2 V 2.27
Ru: 0.0000 0.0000 0.5000  2 V 2.27

Computed properties:
The calculation puts the magnetization at 1.04 μB per atom. Its symmetry is No. 221. The crystal system is cubic.

***

Run B
# VRu3O

A geometry-optimized VRu3O structure (GGA+U, the Alexandria database).

abc: 4.0647 4.0647 4.0647
angles: 90.00 90.00 90.00
Closest atoms and distances in Å follow each position.
Atoms (fractional coordinates):
Ru: 0.0000 0.5000 0.0000  2 O 2.03
O: 0.0000 0.0000 0.0000  6 Ru 2.03
V: 0.5000 0.5000 0.5000  12 Ru 2.87
Ru: 0.5000 0.0000 0.0000  2 O 2.03
Ru: 0.0000 0.0000 0.5000  2 O 2.03

Computed properties:
The calculation puts the magnetization at 0.35 μB per atom. Its symmetry is No. 221. The crystal system is cubic.

***

Most stable structure: run B